# Rb3BaZn

Crystalline Rb3BaZn at its relaxed geometry (PBE-GGA, Alexandria via LeMat-Bulk).

Properties
Crystal system ... cubic
DOS(E_F) ... 4.79 states/eV per cell
Theoretical density ... 1.09 Mg/m³
Energy relative to the lowest polymorph listed for this composition ... 0.391 eV per atom
DFT formation energy ... 623 meV/atom
Total magnetic moment ... 1.02 μB/f.u.
Space group ... No. 221

Lattice parameters (Å, degrees): 8.8841 8.8841 8.8841 90.00 90.00 90.00
Element x y z (fractional)
1 Rb 0.0000 0.0000 0.5000
2 Rb 0.0000 0.5000 0.0000
3 Rb 0.5000 0.0000 0.0000
4 Ba 0.0000 0.0000 0.0000
5 Zn 0.5000 0.5000 0.5000


# Hf2SO

Crystalline Hf2SO at its relaxed geometry (PBE-GGA, Alexandria via LeMat-Bulk).

Properties
Crystal system ... tetragonal
DOS(E_F) ... 6.35 states/eV per cell
Theoretical density ... 9.08 Mg/m³
Formation energy from raw total energies ... -5.90 eV/f.u.
Energy relative to the lowest polymorph listed for this composition ... 0.000 eV per atom
Total magnetic moment ... 0.00 μB/f.u.
Space group ... No. 122

Lattice parameters (Å, degrees): 6.5332 6.5332 6.5332 132.63 132.63 69.24
Element x y z (fractional)
1 Hf 0.0599 0.6250 0.9349
2 Hf 0.3750 0.3099 0.4349
3 Hf 0.6901 0.1250 0.0651
4 Hf 0.8750 0.9401 0.5651
5 S 0.2500 0.7500 0.5000
6 S 0.5000 0.5000 0.0000
7 O 0.0000 0.0000 0.0000
8 O 0.7500 0.2500 0.5000


# Cs5RbPd

Crystalline Cs5RbPd at its relaxed geometry (PBE-GGA, Alexandria via LeMat-Bulk).

Properties
Crystal system ... monoclinic
DOS(E_F) ... 13.26 states/eV per cell
Theoretical density ... 2.29 Mg/m³
DFT formation energy ... 44 meV/atom
Total magnetic moment ... 0.00 μB/f.u.
Space group ... No. 15

Lattice parameters (Å, degrees): 10.2612 10.2612 14.8798 111.18 111.18 60.65
Element x y z (fractional)
1 Cs 0.0013 0.9987 0.7500
2 Cs 0.0833 0.6178 0.4247
3 Cs 0.0830 0.6186 0.9260
4 Cs 0.3814 0.9170 0.5740
5 Cs 0.3822 0.9167 0.0753
6 Cs 0.6178 0.0833 0.9247
7 Cs 0.6186 0.0830 0.4260
8 Cs 0.9170 0.3814 0.0740
9 Cs 0.9167 0.3822 0.5753
10 Cs 0.9987 0.0013 0.2500
11 Rb 0.5000 0.5000 0.2500
12 Rb 0.5000 0.5000 0.7500
13 Pd 0.0000 0.0000 0.0000
14 Pd 0.0000 0.0000 0.5000


# Cs2TeCl7

Crystalline Cs2TeCl7 at its relaxed geometry (PBE-GGA, Alexandria via LeMat-Bulk).

Properties
Crystal system ... cubic
DOS(E_F) ... 3.59 states/eV per cell
Theoretical density ... 3.02 Mg/m³
Formation energy from raw total energies ... -10.87 eV/f.u.
Total magnetic moment ... 0.00 μB/f.u.
Space group ... No. 225

Lattice parameters (Å, degrees): 7.9317 7.9317 7.9317 60.00 60.00 60.00
Element x y z (fractional)
1 Cs 0.2500 0.2500 0.2500
2 Cs 0.7500 0.7500 0.7500
3 Te 0.0000 0.0000 0.0000
4 Cl 0.2260 0.2260 0.7740
5 Cl 0.2260 0.7740 0.2260
6 Cl 0.2260 0.7740 0.7740
7 Cl 0.5000 0.5000 0.5000
8 Cl 0.7740 0.2260 0.2260
9 Cl 0.7740 0.2260 0.7740
10 Cl 0.7740 0.7740 0.2260